No. 1
An optimized crystal structure of TlTcO3. Source: the Open Quantum Materials Database, functional PBE-GGA.

As for the raw total energy: -0.4850 Ry/atom.

a = 5.5582 Å, b = 5.6174 Å, c = 7.9009 Å
α = 90.00°, β = 90.00°, γ = 90.00°
With the nearest neighbours (Å) after each atom.
Sites, in units of the cell vectors:
O  0.7499  0.2501  0.0006  2 Tc 1.98
O  0.7501  0.7501  0.0006  2 Tc 1.98
O  0.4985  0.0007  0.2500  2 Tc 1.98
O  0.0015  0.5007  0.2500  2 Tc 1.98
O  0.7499  0.2501  0.4994  2 Tc 1.98
O  0.7501  0.7501  0.4994  2 Tc 1.98
O  0.2499  0.2499  0.5006  2 Tc 1.98
O  0.2501  0.7499  0.5006  2 Tc 1.98
O  0.9985  0.4993  0.7500  2 Tc 1.98
O  0.5015  0.9993  0.7500  2 Tc 1.98
O  0.2499  0.2499  0.9994  2 Tc 1.98
O  0.2501  0.7499  0.9994  2 Tc 1.98
Tc  0.5000  0.0000  0.0000  6 O 1.98
Tc  0.0000  0.5000  0.0000  6 O 1.98
Tc  0.5000  0.0000  0.5000  6 O 1.98
Tc  0.0000  0.5000  0.5000  6 O 1.98
Tl  0.5000  0.4999  0.2500  12 O 2.77-2.81
Tl  0.0000  0.9999  0.2500  12 O 2.77-2.81
Tl  0.0000  0.0001  0.7500  12 O 2.77-2.81
Tl  0.5000  0.5001  0.7500  12 O 2.77-2.81



No. 2
An optimized crystal structure of Tl3Tc2O8. Source: the Open Quantum Materials Database, functional PBE-GGA.

As for the raw total energy: -0.4719 Ry/atom.

a = 7.9850 Å, b = 7.9850 Å, c = 7.9850 Å
α = 44.75°, β = 44.75°, γ = 44.75°
With the nearest neighbours (Å) after each atom.
Sites, in units of the cell vectors:
O  0.7268  0.7268  0.2529  1 Tc 1.77
O  0.7471  0.2732  0.2732  1 Tc 1.77
O  0.2732  0.7471  0.2732  1 Tc 1.77
O  0.3216  0.3216  0.3216  1 Tc 1.76
O  0.6784  0.6784  0.6784  1 Tc 1.76
O  0.7268  0.2529  0.7268  1 Tc 1.77
O  0.2529  0.7268  0.7268  1 Tc 1.77
O  0.2732  0.2732  0.7471  1 Tc 1.77
Tc  0.4035  0.4035  0.4035  4 O 1.76-1.77
Tc  0.5965  0.5965  0.5965  4 O 1.76-1.77
Tl  0.0000  0.0000  0.0000  6 O 2.80
Tl  0.1981  0.1981  0.1981  4 O 2.66-2.84
Tl  0.8019  0.8019  0.8019  4 O 2.66-2.84



No. 3
An optimized crystal structure of TlTc2O4. Source: the Open Quantum Materials Database, functional PBE-GGA.

As for the raw total energy: -0.4332 Ry/atom.

a = 6.4678 Å, b = 6.4678 Å, c = 6.4678 Å
α = 141.38°, β = 141.38°, γ = 55.77°
With the nearest neighbours (Å) after each atom.
Sites, in units of the cell vectors:
O  0.2034  0.2034  0.0000  1 Tc 1.87
O  0.7966  0.7966  0.0000  1 Tc 1.87
O  0.5000  0.0000  0.5000  2 Tl 2.14
O  0.0000  0.5000  0.5000  2 Tl 2.14
Tc  0.3671  0.3671  0.0000  1 O 1.87
Tc  0.6329  0.6329  0.0000  1 O 1.87
Tl  0.0000  0.0000  0.0000  6 O 2.14-2.33



No. 4
An optimized crystal structure of Tm6TcO12. Source: the Open Quantum Materials Database, functional PBE-GGA.

As for the raw total energy: -0.6078 Ry/atom.

a = 6.3265 Å, b = 6.3265 Å, c = 6.3265 Å
α = 98.71°, β = 98.71°, γ = 98.71°
With the nearest neighbours (Å) after each atom.
Sites, in units of the cell vectors:
O  0.9229  0.6990  0.0363  1 Tc 1.95
O  0.3010  0.9637  0.0771  1 Tc 1.95
O  0.5884  0.4309  0.1776  4 Tm 2.15-2.25
O  0.9637  0.0771  0.3010  1 Tc 1.95
O  0.5690  0.8224  0.4116  4 Tm 2.15-2.25
O  0.1776  0.5884  0.4309  4 Tm 2.15-2.25
O  0.8224  0.4116  0.5691  4 Tm 2.15-2.25
O  0.4310  0.1776  0.5884  4 Tm 2.15-2.25
O  0.0363  0.9229  0.6990  1 Tc 1.95
O  0.4116  0.5691  0.8224  4 Tm 2.15-2.25
O  0.6990  0.0363  0.9229  1 Tc 1.95
O  0.0771  0.3010  0.9637  1 Tc 1.95
Tc  0.0000  0.0000  0.0000  6 O 1.95
Tm  0.3159  0.6118  0.1434  6 O 2.15-2.34
Tm  0.6118  0.1434  0.3159  6 O 2.15-2.34
Tm  0.8566  0.6841  0.3882  6 O 2.15-2.34
Tm  0.1434  0.3159  0.6118  6 O 2.15-2.34
Tm  0.3882  0.8566  0.6841  6 O 2.15-2.34
Tm  0.6841  0.3882  0.8566  6 O 2.15-2.34



No. 5
An optimized crystal structure of Y6TcO12. Source: the Open Quantum Materials Database, functional PBE-GGA.

As for the raw total energy: -0.6472 Ry/atom.

a = 6.4381 Å, b = 6.4381 Å, c = 6.4381 Å
α = 98.61°, β = 98.61°, γ = 98.61°
With the nearest neighbours (Å) after each atom.
Sites, in units of the cell vectors:
O  0.9267  0.7028  0.0339  1 Tc 1.95
O  0.2972  0.9661  0.0733  1 Tc 1.95
O  0.5900  0.4331  0.1773  4 Y 2.19-2.29
O  0.9661  0.0733  0.2972  1 Tc 1.95
O  0.5669  0.8227  0.4100  4 Y 2.19-2.29
O  0.1773  0.5900  0.4331  4 Y 2.19-2.29
O  0.8227  0.4100  0.5669  4 Y 2.19-2.29
O  0.4331  0.1773  0.5900  4 Y 2.19-2.29
O  0.0339  0.9267  0.7028  1 Tc 1.95
O  0.4100  0.5669  0.8227  4 Y 2.19-2.29
O  0.7028  0.0339  0.9267  1 Tc 1.95
O  0.0733  0.2972  0.9661  1 Tc 1.95
Tc  0.0000  0.0000  0.0000  6 O 1.95
Y  0.3131  0.6115  0.1433  6 O 2.19-2.41
Y  0.6115  0.1433  0.3131  6 O 2.19-2.41
Y  0.8567  0.6869  0.3885  6 O 2.19-2.41
Y  0.1433  0.3131  0.6115  6 O 2.19-2.41
Y  0.3885  0.8567  0.6869  6 O 2.19-2.41
Y  0.6869  0.3885  0.8567  6 O 2.19-2.41



No. 6
An optimized crystal structure of Zn2TcO4. Source: the Open Quantum Materials Database, functional PBE-GGA.

As for the raw total energy: -0.4238 Ry/atom.

a = 6.0808 Å, b = 6.0808 Å, c = 6.0808 Å
α = 120.00°, β = 90.01°, γ = 120.00°
With the nearest neighbours (Å) after each atom.
Sites, in units of the cell vectors:
O  0.6210  0.2422  0.3789  1 Tc 1.92, 3 Zn 2.12
O  0.1367  0.7578  0.3789  1 Tc 1.92, 3 Zn 2.12
O  0.6211  0.7578  0.3790  1 Tc 1.92, 3 Zn 2.12
O  0.1289  0.2578  0.3867  1 Tc 1.92, 3 Zn 2.12
O  0.6211  0.2422  0.8633  1 Tc 1.92, 3 Zn 2.12
O  0.1289  0.7422  0.8710  1 Tc 1.92, 3 Zn 2.12
O  0.1290  0.2578  0.8711  1 Tc 1.92, 3 Zn 2.12
O  0.6133  0.7422  0.8711  1 Tc 1.92, 3 Zn 2.12
Tc  0.0000  0.0000  0.0000  4 O 1.92
Tc  0.7500  0.5000  0.2500  4 O 1.92
Zn  0.3750  0.7500  0.1250  6 O 2.12
Zn  0.3750  0.7500  0.6250  6 O 2.12
Zn  0.3750  0.2500  0.6250  6 O 2.12
Zn  0.8750  0.2500  0.6250  6 O 2.12



No. 7
An optimized crystal structure of Zr2Tc2O5. Source: the Open Quantum Materials Database, functional PBE-GGA.

The distance to the lowest polymorph of the same formula is 0.0 kJ/mol of atoms. As for the raw total energy: -0.6153 Ry/atom.

a = 6.7325 Å, b = 3.8667 Å, c = 3.8667 Å
α = 90.00°, β = 90.00°, γ = 90.00°
With the nearest neighbours (Å) after each atom.
Sites, in units of the cell vectors:
O  0.2568  0.5000  0.0000  2 Tc 2.00
O  0.7432  0.5000  0.0000  2 Tc 2.00
O  0.2568  0.0000  0.5000  2 Tc 2.00
O  0.7432  0.0000  0.5000  2 Tc 2.00
O  0.5000  0.5000  0.5000  2 Tc 2.13
Tc  0.1833  0.5000  0.5000  5 O 2.00-2.13
Tc  0.8167  0.5000  0.5000  5 O 2.00-2.13
Zr  0.0000  0.0000  0.0000  8 O 2.59
Zr  0.5000  0.0000  0.0000  12 O 2.53-2.73



No. 8
An optimized crystal structure of Zr2Tc2O5. Source: the Open Quantum Materials Database, functional PBE-GGA.

The distance to the lowest polymorph of the same formula is 12.0 kJ/mol of atoms. As for the raw total energy: -0.6061 Ry/atom.

a = 7.5938 Å, b = 4.1097 Å, c = 4.1097 Å
α = 90.00°, β = 90.00°, γ = 90.00°
With the nearest neighbours (Å) after each atom.
Sites, in units of the cell vectors:
O  0.2086  0.5000  0.0000  2 Zr 2.06
O  0.7914  0.5000  0.0000  2 Zr 2.06
O  0.2086  0.0000  0.5000  2 Zr 2.06
O  0.7914  0.0000  0.5000  2 Zr 2.06
O  0.5000  0.5000  0.5000  2 Zr 2.02
Tc  0.0000  0.0000  0.0000  8 O 2.59
Tc  0.5000  0.0000  0.0000  12 O 2.91-3.02
Zr  0.2334  0.5000  0.5000  5 O 2.02-2.06
Zr  0.7666  0.5000  0.5000  5 O 2.02-2.06



No. 9
An optimized crystal structure of TmTlTeO. Source: the Open Quantum Materials Database, functional PBE-GGA.

As for the raw total energy: -0.3943 Ry/atom.

a = 4.8608 Å, b = 7.9454 Å, c = 6.7179 Å
α = 90.00°, β = 90.00°, γ = 90.00°
With the nearest neighbours (Å) after each atom.
Sites, in units of the cell vectors:
O  0.5000  0.0485  0.2621  2 Tm 2.05-2.06
O  0.5000  0.9515  0.7621  2 Tm 2.05-2.06
Te  0.0000  0.6524  0.0727  2 Tm 2.95, 1 Tl 3.27
Te  0.0000  0.3476  0.5727  2 Tm 2.95, 1 Tl 3.27
Tl  0.0000  0.2256  0.1079  2 O 2.99, 1 Te 3.27
Tl  0.0000  0.7744  0.6079  2 O 2.99, 1 Te 3.27
Tm  0.5000  0.8628  0.0483  2 O 2.05-2.06
Tm  0.5000  0.1372  0.5483  2 O 2.05-2.06



No. 10
An optimized crystal structure of TmTeO4. Source: the Open Quantum Materials Database, functional PBE-GGA.

As for the raw total energy: -0.4872 Ry/atom.

a = 5.0188 Å, b = 5.3843 Å, c = 5.7500 Å
α = 90.13°, β = 90.26°, γ = 94.23°
With the nearest neighbours (Å) after each atom.
Sites, in units of the cell vectors:
O  0.7787  0.0454  0.0832  2 Te 2.09-2.16, 1 Tm 2.24
O  0.2203  0.4546  0.0859  2 Te 2.08-2.15, 1 Tm 2.23
O  0.7383  0.5920  0.4038  1 Te 1.97, 1 Tm 2.20
O  0.2607  0.9084  0.4051  1 Te 1.97, 1 Tm 2.20
O  0.7393  0.0916  0.5949  1 Te 1.97, 1 Tm 2.20
O  0.2617  0.4080  0.5962  1 Te 1.97, 1 Tm 2.20
O  0.7797  0.5454  0.9141  2 Te 2.08-2.15, 1 Tm 2.23
O  0.2213  0.9546  0.9168  2 Te 2.09-2.16, 1 Tm 2.24
Te  0.9994  0.7499  0.1843  6 O 1.97-2.16
Te  0.0006  0.2501  0.8157  6 O 1.97-2.16
Tm  0.4996  0.2490  0.3030  6 O 2.20-2.27
Tm  0.5004  0.7510  0.6970  6 O 2.20-2.27



No. 11
An optimized crystal structure of Tm6TeO12. Source: the Open Quantum Materials Database, functional PBE-GGA.

As for the raw total energy: -0.5806 Ry/atom.

a = 6.3499 Å, b = 6.3499 Å, c = 6.3499 Å
α = 98.78°, β = 98.78°, γ = 98.78°
With the nearest neighbours (Å) after each atom.
Sites, in units of the cell vectors:
O  0.9254  0.6985  0.0362  1 Te 1.96
O  0.3015  0.9638  0.0746  1 Te 1.96
O  0.5914  0.4309  0.1774  4 Tm 2.15-2.24
O  0.9638  0.0746  0.3015  1 Te 1.96
O  0.5691  0.8226  0.4086  4 Tm 2.15-2.24
O  0.1774  0.5914  0.4309  4 Tm 2.15-2.24
O  0.8226  0.4086  0.5691  4 Tm 2.15-2.24
O  0.4309  0.1774  0.5914  4 Tm 2.15-2.24
O  0.0362  0.9254  0.6985  1 Te 1.96
O  0.4086  0.5691  0.8226  4 Tm 2.15-2.24
O  0.6985  0.0362  0.9254  1 Te 1.96
O  0.0746  0.3015  0.9638  1 Te 1.96
Te  0.0000  0.0000  0.0000  6 O 1.96
Tm  0.3174  0.6099  0.1446  6 O 2.15-2.37
Tm  0.6099  0.1446  0.3174  6 O 2.15-2.37
Tm  0.8554  0.6826  0.3901  6 O 2.15-2.37
Tm  0.1446  0.3174  0.6099  6 O 2.15-2.37
Tm  0.3901  0.8554  0.6826  6 O 2.15-2.37
Tm  0.6826  0.3901  0.8554  6 O 2.15-2.37



No. 12
An optimized crystal structure of Tm2Te4O11. Source: the Open Quantum Materials Database, functional PBE-GGA.

As for the raw total energy: -0.4648 Ry/atom.

a = 5.0534 Å, b = 6.6226 Å, c = 15.4561 Å
α = 91.89°, β = 99.41°, γ = 112.43°
With the nearest neighbours (Å) after each atom.
Sites, in units of the cell vectors:
O  0.0074  0.1797  0.0448  1 Te 1.89
O  0.7128  0.4684  0.0533  1 Te 1.90
O  0.4946  0.0470  0.0955  1 Te 1.94
O  0.3207  0.6324  0.1302  1 Te 1.94
O  0.9508  0.8645  0.1696  1 Te 1.87
O  0.3855  0.2500  0.2500  2 Te 2.04
O  0.4167  0.6355  0.3304  1 Te 1.87
O  0.0581  0.8676  0.3698  1 Te 1.94
O  0.8521  0.4530  0.4045  1 Te 1.94
O  0.6911  0.0316  0.4467  1 Te 1.90
O  0.2830  0.3203  0.4552  1 Te 1.89
O  0.7170  0.6797  0.5448  1 Te 1.89
O  0.3089  0.9684  0.5533  1 Te 1.90
O  0.1479  0.5470  0.5955  1 Te 1.94
O  0.9419  0.1324  0.6302  1 Te 1.94
O  0.5833  0.3645  0.6696  1 Te 1.87
O  0.6145  0.7500  0.7500  2 Te 2.04
O  0.0492  0.1355  0.8304  1 Te 1.87
O  0.6793  0.3676  0.8698  1 Te 1.94
O  0.5054  0.9530  0.9045  1 Te 1.94
O  0.2872  0.5316  0.9467  1 Te 1.90
O  0.9926  0.8203  0.9552  1 Te 1.89
Te  0.9679  0.3735  0.1292  3 O 1.89-1.94
Te  0.3537  0.9489  0.2021  3 O 1.87-2.04
Te  0.7027  0.5511  0.2979  3 O 1.87-2.04
Te  0.9652  0.1265  0.3708  3 O 1.89-1.94
Te  0.0348  0.8735  0.6292  3 O 1.89-1.94
Te  0.2973  0.4489  0.7021  3 O 1.87-2.04
Te  0.6463  0.0511  0.7979  3 O 1.87-2.04
Te  0.0321  0.6265  0.8708  3 O 1.89-1.94
Tm  0.6645  0.7974  0.0365  7 O 2.20-2.45
Tm  0.3307  0.7026  0.4635  7 O 2.20-2.45
Tm  0.6693  0.2974  0.5365  7 O 2.20-2.45
Tm  0.3355  0.2026  0.9635  7 O 2.20-2.45